The following is a PBE-GGA calculation of a relaxed structure of Tm2Tl9Pb, from Alexandria.

```
Tm2Tl9Pb
1.0
4.8415 0.0000 0.0000
0.0000 4.8415 0.0000
0.0000 0.0000 14.4496
Tm Tl Pb
2 9 1
Direct
0.0000 0.0000 0.1544 Tm
0.0000 0.0000 0.8456 Tm
0.0000 0.5000 0.0000 Tl
0.0000 0.5000 0.3257 Tl
0.0000 0.5000 0.6743 Tl
0.5000 0.0000 0.0000 Tl
0.5000 0.0000 0.3257 Tl
0.5000 0.0000 0.6743 Tl
0.5000 0.5000 0.1637 Tl
0.5000 0.5000 0.5000 Tl
0.5000 0.5000 0.8363 Tl
0.0000 0.0000 0.5000 Pb
```

## Properties
ΔE_f: -0.076 eV/atom
DFT total energy: -2.91 eV/atom